(1)
Entry from the Alexandria database: crystalline Tb10YTm4 at its relaxed geometry (PBE).

Geometry as POSCAR:
```
Tb10YTm4
1.0
-6.055 6.055 3.829
6.055 -6.055 3.829
6.055 6.055 -3.829
Tb Y Tm
10 1 4
direct
0.047 0.349 0.899 Tb
0.148 0.047 0.698 Tb
0.250 0.750 0.500 Tb
0.349 0.450 0.302 Tb
0.450 0.148 0.101 Tb
0.550 0.852 0.899 Tb
0.651 0.550 0.698 Tb
0.750 0.250 0.500 Tb
0.852 0.953 0.302 Tb
0.953 0.651 0.101 Tb
0.500 0.500 0.000 Y
0.100 0.700 0.800 Tm
0.300 0.100 0.400 Tm
0.700 0.900 0.600 Tm
0.900 0.300 0.200 Tm
```

---

(2)
Entry from the Alexandria database: crystalline TbY15Tm4 at its relaxed geometry (PBE).

Geometry as POSCAR:
```
TbY15Tm4
1.0
5.025 0.000 0.000
0.000 5.025 0.000
0.000 0.000 25.135
Tb Y Tm
1 15 4
direct
0.000 0.000 0.000 Tb
0.000 0.500 0.101 Y
0.000 0.500 0.300 Y
0.000 0.500 0.500 Y
0.000 0.500 0.700 Y
0.000 0.500 0.899 Y
0.500 0.000 0.101 Y
0.500 0.000 0.300 Y
0.500 0.000 0.500 Y
0.500 0.000 0.700 Y
0.500 0.000 0.899 Y
0.500 0.500 0.000 Y
0.500 0.500 0.201 Y
0.500 0.500 0.400 Y
0.500 0.500 0.600 Y
0.500 0.500 0.799 Y
0.000 0.000 0.200 Tm
0.000 0.000 0.400 Tm
0.000 0.000 0.600 Tm
0.000 0.000 0.800 Tm
```

---

(3)
Entry from the Alexandria database: crystalline Tb12YTm2 at its relaxed geometry (PBE).

Geometry as POSCAR:
```
Tb12YTm2
1.0
3.561 0.000 0.000
0.000 5.585 0.000
-1.748 0.000 24.267
Tb Y Tm
12 1 2
direct
0.038 0.000 0.074 Tb
0.225 0.000 0.444 Tb
0.285 0.500 0.576 Tb
0.332 0.000 0.671 Tb
0.398 0.000 0.798 Tb
0.428 0.500 0.862 Tb
0.572 0.500 0.138 Tb
0.602 0.000 0.202 Tb
0.668 0.000 0.329 Tb
0.715 0.500 0.424 Tb
0.775 0.000 0.556 Tb
0.962 0.000 0.926 Tb
0.500 0.500 0.000 Y
0.138 0.500 0.271 Tm
0.862 0.500 0.729 Tm
```

---

(4)
Tb3Y2Tm3, optimized geometry, DFT PBE; energy above the lowest structure with this stoichiometry = 0.097 eV/atom
1.0
7.973 -2.847 0.000
7.973 2.847 0.000
-2.200 0.000 5.591
Tb Y Tm
3 2 3
direct
0.000 0.000 0.000 Tb
0.131 0.131 0.691 Tb
0.869 0.869 0.309 Tb
0.250 0.250 0.314 Y
0.750 0.750 0.686 Y
0.370 0.370 0.924 Tm
0.500 0.500 0.500 Tm
0.630 0.630 0.076 Tm

---

(5)
Entry from the Alexandria database: crystalline Tb8Y4Tm3 at its relaxed geometry (PBE).

Geometry as POSCAR:
```
Tb8Y4Tm3
1.0
6.673 -6.369 0.000
6.673 6.369 0.000
-3.385 0.000 5.842
Tb Y Tm
8 4 3
direct
0.142 0.858 0.000 Tb
0.227 0.227 0.452 Tb
0.232 0.232 0.981 Tb
0.246 0.754 0.500 Tb
0.754 0.246 0.500 Tb
0.768 0.768 0.019 Tb
0.773 0.773 0.548 Tb
0.858 0.142 0.000 Tb
0.000 0.500 0.500 Y
0.500 0.000 0.500 Y
0.500 0.500 0.000 Y
0.500 0.500 0.500 Y
0.000 0.000 0.500 Tm
0.000 0.500 0.000 Tm
0.500 0.000 0.000 Tm
```

---

(6)
TbY8Tm2, optimized geometry, DFT PBE; energy above the lowest structure with this stoichiometry = 0.032 eV/atom
1.0
4.520 -8.162 0.000
4.520 8.162 0.000
-3.355 0.000 4.839
Tb Y Tm
1 8 2
direct
0.000 0.000 0.000 Tb
0.098 0.340 0.684 Y
0.205 0.795 0.000 Y
0.340 0.098 0.684 Y
0.433 0.433 0.209 Y
0.567 0.567 0.791 Y
0.660 0.902 0.316 Y
0.795 0.205 0.000 Y
0.902 0.660 0.316 Y
0.309 0.691 0.500 Tm
0.691 0.309 0.500 Tm

---

(7)
Tb3YTm4, optimized geometry, DFT PBE; energy above the lowest structure with this stoichiometry = 0.000 eV/atom
1.0
11.165 0.000 0.000
0.000 7.220 0.000
0.000 0.000 6.236
Tb Y Tm
6 2 8
direct
0.000 0.124 0.000 Tb
0.249 0.626 0.332 Tb
0.251 0.374 0.832 Tb
0.500 0.876 0.500 Tb
0.749 0.374 0.832 Tb
0.751 0.626 0.332 Tb
0.000 0.374 0.499 Y
0.500 0.626 0.999 Y
0.000 0.626 0.997 Tm
0.000 0.876 0.498 Tm
0.249 0.876 0.831 Tm
0.251 0.124 0.331 Tm
0.500 0.124 0.998 Tm
0.500 0.374 0.497 Tm
0.749 0.124 0.331 Tm
0.751 0.876 0.831 Tm

---

(8)
Tb4Y4Tm, optimized geometry, DFT PBE; energy above the lowest structure with this stoichiometry = 0.000 eV/atom
1.0
-5.340 5.340 2.511
5.340 -5.340 2.511
5.340 5.340 -2.511
Tb Y Tm
4 4 1
direct
0.000 0.334 0.334 Tb
0.000 0.666 0.666 Tb
0.334 0.000 0.334 Tb
0.666 0.000 0.666 Tb
0.334 0.334 0.668 Y
0.334 0.666 0.000 Y
0.666 0.334 0.000 Y
0.666 0.666 0.332 Y
0.000 0.000 0.000 Tm

---

(9)
Tb6Y3Tm2, optimized geometry, DFT PBE; energy above the lowest structure with this stoichiometry = 0.000 eV/atom
1.0
1.776 1.026 31.793
-1.776 1.026 31.793
0.000 -2.051 31.793
Tb Y Tm
6 3 2
direct
0.092 0.092 0.092 Tb
0.182 0.182 0.182 Tb
0.364 0.364 0.364 Tb
0.636 0.636 0.636 Tb
0.818 0.818 0.818 Tb
0.908 0.908 0.908 Tb
0.000 0.000 0.000 Y
0.272 0.272 0.272 Y
0.728 0.728 0.728 Y
0.455 0.455 0.455 Tm
0.545 0.545 0.545 Tm

---

(10)
Tb3Y2Tm7, optimized geometry, DFT PBE; energy above the lowest structure with this stoichiometry = 0.000 eV/atom
1.0
6.265 0.000 0.000
0.000 3.485 0.000
-1.890 0.000 17.180
Tb Y Tm
3 2 7
direct
0.000 0.000 0.000 Tb
0.051 0.500 0.657 Tb
0.949 0.500 0.343 Tb
0.440 0.000 0.326 Y
0.560 0.000 0.674 Y
0.226 0.500 0.164 Tm
0.246 0.000 0.501 Tm
0.274 0.000 0.834 Tm
0.500 0.500 0.000 Tm
0.726 0.000 0.166 Tm
0.754 0.000 0.499 Tm
0.774 0.500 0.836 Tm

---

(11)
Tb5YTm3, optimized geometry, DFT PBE; energy above the lowest structure with this stoichiometry = 0.381 eV/atom
1.0
7.526 -5.708 0.000
7.526 5.708 0.000
-6.309 0.000 7.556
Tb Y Tm
10 2 6
direct
0.102 0.606 0.252 Tb
0.225 0.225 0.235 Tb
0.243 0.757 0.000 Tb
0.278 0.278 0.961 Tb
0.394 0.898 0.748 Tb
0.606 0.102 0.252 Tb
0.722 0.722 0.039 Tb
0.757 0.243 0.000 Tb
0.775 0.775 0.765 Tb
0.898 0.394 0.748 Tb
0.247 0.247 0.596 Y
0.753 0.753 0.404 Y
0.000 0.000 0.500 Tm
0.011 0.011 0.822 Tm
0.482 0.482 0.641 Tm
0.500 0.500 0.000 Tm
0.518 0.518 0.359 Tm
0.989 0.989 0.178 Tm

---

(12)
Tb5YTm4, optimized geometry, DFT PBE; energy above the lowest structure with this stoichiometry = 0.000 eV/atom
1.0
8.383 -1.756 0.000
8.383 1.756 0.000
-3.623 0.000 10.677
Tb Y Tm
5 1 4
direct
0.000 0.000 0.000 Tb
0.287 0.287 0.382 Tb
0.311 0.311 0.924 Tb
0.689 0.689 0.076 Tb
0.713 0.713 0.618 Tb
0.000 0.000 0.500 Y
0.106 0.106 0.796 Tm
0.417 0.417 0.708 Tm
0.583 0.583 0.292 Tm
0.894 0.894 0.204 Tm

---

(13)
Tb2Y7Tm2, optimized geometry, DFT PBE; energy above the lowest structure with this stoichiometry = 0.012 eV/atom
1.0
-2.761 7.934 4.063
2.761 -7.934 4.063
2.761 7.934 -4.063
Tb Y Tm
2 7 2
direct
0.201 0.000 0.201 Tb
0.799 0.000 0.799 Tb
0.070 0.708 0.361 Y
0.201 0.201 0.000 Y
0.338 0.498 0.839 Y
0.347 0.708 0.639 Y
0.656 0.292 0.364 Y
0.659 0.498 0.161 Y
0.928 0.292 0.636 Y
0.499 0.999 0.500 Tm
0.786 0.786 0.000 Tm

---

(14)
Tb5Y4Tm, optimized geometry, DFT PBE; energy above the lowest structure with this stoichiometry = 0.000 eV/atom
1.0
3.551 0.000 0.000
-0.015 7.110 0.000
-1.774 -1.760 12.588
Tb Y Tm
5 4 1
direct
0.000 0.000 0.000 Tb
0.200 0.100 0.401 Tb
0.200 0.600 0.400 Tb
0.800 0.400 0.600 Tb
0.800 0.900 0.599 Tb
0.400 0.201 0.801 Y
0.400 0.700 0.801 Y
0.600 0.300 0.199 Y
0.600 0.799 0.199 Y
0.000 0.500 0.000 Tm

---

(15)
Tb3YTm6, optimized geometry, DFT PBE; energy above the lowest structure with this stoichiometry = 0.131 eV/atom
1.0
5.454 -9.390 0.000
5.454 9.390 0.000
0.000 0.000 6.144
Tb Y Tm
6 2 12
direct
0.108 0.892 0.500 Tb
0.219 0.437 0.892 Tb
0.437 0.219 0.392 Tb
0.563 0.781 0.892 Tb
0.781 0.563 0.392 Tb
0.892 0.108 0.000 Tb
0.294 0.706 0.578 Y
0.706 0.294 0.078 Y
0.038 0.460 0.293 Tm
0.117 0.213 0.464 Tm
0.213 0.117 0.964 Tm
0.217 0.783 0.073 Tm
0.454 0.546 0.346 Tm
0.460 0.038 0.793 Tm
0.540 0.962 0.293 Tm
0.546 0.454 0.846 Tm
0.783 0.217 0.573 Tm
0.787 0.883 0.464 Tm
0.883 0.787 0.964 Tm
0.962 0.540 0.793 Tm

---

(16)
Tb4Y3Tm5, optimized geometry, DFT PBE; energy above the lowest structure with this stoichiometry = 0.000 eV/atom
1.0
6.117 0.000 0.000
0.006 7.072 0.000
0.002 0.002 8.644
Tb Y Tm
4 3 5
direct
0.168 0.000 0.331 Tb
0.332 0.750 0.667 Tb
0.668 0.250 0.333 Tb
0.832 0.000 0.669 Tb
0.333 0.250 0.666 Y
0.500 0.500 0.000 Y
0.667 0.750 0.334 Y
0.001 0.750 0.999 Tm
0.165 0.500 0.331 Tm
0.500 0.000 0.000 Tm
0.835 0.500 0.669 Tm
0.999 0.250 0.001 Tm

---

(17)
Tb3YTm2, optimized geometry, DFT PBE; energy above the lowest structure with this stoichiometry = 0.000 eV/atom
1.0
10.937 -1.812 0.000
10.937 1.812 0.000
-5.742 0.000 9.627
Tb Y Tm
6 2 4
direct
0.055 0.055 0.180 Tb
0.277 0.277 0.654 Tb
0.388 0.388 0.015 Tb
0.612 0.612 0.985 Tb
0.723 0.723 0.346 Tb
0.945 0.945 0.820 Tb
0.390 0.390 0.513 Y
0.610 0.610 0.487 Y
0.056 0.056 0.681 Tm
0.278 0.278 0.152 Tm
0.722 0.722 0.848 Tm
0.944 0.944 0.319 Tm

---

(18)
Tb3YTm7, optimized geometry, DFT PBE; energy above the lowest structure with this stoichiometry = 0.034 eV/atom
1.0
6.974 0.000 0.000
-3.487 6.040 0.000
0.000 0.000 8.526
Tb Y Tm
3 1 7
direct
0.167 0.334 0.000 Tb
0.167 0.833 0.000 Tb
0.666 0.833 0.000 Tb
0.000 0.000 0.337 Y
0.002 0.501 0.338 Tm
0.332 0.166 0.666 Tm
0.333 0.667 0.664 Tm
0.499 0.501 0.338 Tm
0.499 0.998 0.338 Tm
0.834 0.166 0.666 Tm
0.834 0.668 0.666 Tm

---

(19)
Tb6Y4Tm, optimized geometry, DFT PBE; energy above the lowest structure with this stoichiometry = 0.181 eV/atom
1.0
-3.286 3.286 8.553
3.286 -3.286 8.553
3.286 3.286 -8.553
Tb Y Tm
6 4 1
direct
0.000 0.500 0.500 Tb
0.014 0.642 0.000 Tb
0.358 0.358 0.372 Tb
0.500 0.000 0.500 Tb
0.642 0.014 0.000 Tb
0.986 0.986 0.628 Tb
0.189 0.189 0.641 Y
0.453 0.811 0.000 Y
0.547 0.547 0.359 Y
0.811 0.453 0.000 Y
0.000 0.000 0.000 Tm

---

no.,calculated total energy (eV/atom)
1,-3.9878
2,-5.9476
3,-4.6146
4,-4.9265
5,-4.6919
6,-5.7728
7,-4.7783
8,-5.4056
9,-5.0811
10,-4.7562
11,-4.2665
12,-4.7136
13,-5.6533
14,-5.3295
15,-4.5621
16,-4.9989
17,-4.8783
18,-4.5006
19,-4.9716